# NpPaMn2O8 (GGA+U, relaxed)
# - Energy: -107.89 eV/f.u.
# - Magnetization: 10.00 μB/f.u.
# - V: 162 Å³/cell
data_NpPaMn2O8
_space_group_name_H-M_alt 'P 1'
_space_group_IT_number 1
_cell_length_a 4.793
_cell_length_b 4.794
_cell_length_c 7.062
_cell_angle_alpha 90.00
_cell_angle_beta 90.00
_cell_angle_gamma 90.08
loop_
_space_group_symop_operation_xyz
'x,y,z'
loop_
_atom_site_label
_atom_site_type_symbol
_atom_site_fract_x
_atom_site_fract_y
_atom_site_fract_z
Np1 Np 0.000 0.000 0.000
Pa1 Pa 0.000 0.000 0.500
Mn1 Mn 0.500 0.500 0.747
Mn2 Mn 0.500 0.500 0.253
O1 O 0.191 0.808 0.234
O2 O 0.711 0.712 0.000
O3 O 0.809 0.192 0.234
O4 O 0.809 0.192 0.766
O5 O 0.289 0.288 0.000
O6 O 0.191 0.808 0.766
O7 O 0.698 0.699 0.500
O8 O 0.302 0.301 0.500